VASP calculation (PBE) on an optimized crystal structure of V3Co3Pt.

a = 6.401 Å, b = 6.401 Å, c = 6.401 Å
α = 60.21°, β = 60.21°, γ = 60.21°
Atoms (fractional coordinates):
1 V 0.082 0.310 0.814
2 V 0.186 0.918 0.690
3 V 0.310 0.814 0.082
4 V 0.690 0.186 0.918
5 V 0.814 0.082 0.310
6 V 0.918 0.690 0.186
7 Co 0.087 0.746 0.518
8 Co 0.254 0.482 0.913
9 Co 0.482 0.913 0.254
10 Co 0.518 0.087 0.746
11 Co 0.746 0.518 0.087
12 Co 0.913 0.254 0.482
13 Pt 0.342 0.342 0.342
14 Pt 0.658 0.658 0.658

Calculated values
Fermi-level density of states: 16.9 states/eV per cell
E: -7.72 eV per atom